The following is a DFT calculation (meta-GGA SCAN) of a PBEsol-optimized structure of SnPtO3.

Cell lengths 3.997, 3.997, 3.997 Å; angles 90.00, 90.00, 90.00 degrees
Fractional positions:
Sn 0.000 0.000 0.000
Pt 0.500 0.500 0.500
O 0.000 0.000 0.500
O 0.000 0.500 0.000
O 0.500 0.000 0.000

Crystal system: cubic
Formation energy without anion corrections in eV per atom: -0.22
Size of the total moment in μB/f.u.: 2.0

The following is a DFT calculation (meta-GGA SCAN) of a PBEsol-optimized structure of CrReAg2W.

Cell lengths 4.581, 4.581, 4.280 Å; angles 90.00, 90.00, 90.00 degrees
Fractional positions:
Cr 0.000 0.000 0.000
Re 0.000 0.000 0.500
Ag 0.000 0.500 0.000
Ag 0.500 0.000 0.000
W 0.500 0.500 0.500

Crystal system: tetragonal
ΔE_f in eV/atom: 2.169
Size of the total moment in μB/f.u.: 0.4

The following is a DFT calculation (meta-GGA SCAN) of a PBEsol-optimized structure of LiEuH3.

Cell lengths 3.656, 3.656, 3.656 Å; angles 90.00, 90.00, 90.00 degrees
Fractional positions:
Li 0.000 0.000 0.000
Eu 0.500 0.500 0.500
H 0.000 0.000 0.500
H 0.000 0.500 0.000
H 0.500 0.000 0.000

Crystal system: cubic
Total DFT energy (no corrections) in eV per formula unit: -69.5
Size of the total moment in μB/f.u.: 7.0

The following is a DFT calculation (meta-GGA SCAN) of a PBEsol-optimized structure of InRh2Au.

Cell lengths 4.665, 4.665, 4.665 Å; angles 126.99, 126.99, 78.26 degrees
Fractional positions:
In 0.000 0.000 0.000
Rh 0.250 0.750 0.500
Rh 0.750 0.250 0.500
Au 0.500 0.500 0.000

Crystal system: tetragonal
ΔE_f in eV/atom: -0.139
Size of the total moment in μB/f.u.: 0.0

The following is a DFT calculation (meta-GGA SCAN) of a PBEsol-optimized structure of Zr3TlGa.

Cell lengths 4.952, 4.952, 4.952 Å; angles 90.00, 90.00, 90.00 degrees
Fractional positions:
Zr 0.000 0.000 0.500
Zr 0.000 0.500 0.000
Zr 0.500 0.000 0.000
Tl 0.500 0.500 0.500
Ga 0.000 0.000 0.000

Crystal system: cubic
ΔE_f in eV/atom: 0.141
Size of the total moment in μB/f.u.: 0.0

The following is a DFT calculation (meta-GGA SCAN) of a PBEsol-optimized structure of LaZnAs.

Cell lengths 5.711, 5.711, 5.711 Å; angles 143.32, 143.32, 52.84 degrees
Fractional positions:
La 0.000 0.000 0.000
Zn 0.694 0.694 0.000
As 0.303 0.303 0.000

Crystal system: tetragonal
ΔE_f in eV/atom: -0.570
Size of the total moment in μB/f.u.: 0.0

The following is a DFT calculation (meta-GGA SCAN) of a PBEsol-optimized structure of AlAsPb.

Cell lengths 3.881, 3.881, 5.398 Å; angles 90.00, 90.00, 120.00 degrees
Fractional positions:
Al 0.000 0.000 0.000
As 0.333 0.667 0.203
Pb 0.667 0.333 0.602

Offset from the most stable computed form in meV per atom: 0
Crystal system: trigonal
ΔE_f in eV/atom: -0.076
Size of the total moment in μB/f.u.: 0.0

The following is a DFT calculation (meta-GGA SCAN) of a PBEsol-optimized structure of MgSbPt2.

Cell lengths 4.423, 4.423, 3.538 Å; angles 90.00, 90.00, 97.94 degrees
Fractional positions:
Mg 0.000 0.000 0.000
Sb 0.500 0.500 0.000
Pt 0.000 0.500 0.500
Pt 0.500 0.000 0.500

Crystal system: orthorhombic
Formation energy without anion corrections in eV per atom: -0.56
Size of the total moment in μB/f.u.: 0.0

The following is a DFT calculation (meta-GGA SCAN) of a PBEsol-optimized structure of MgTc.

Cell lengths 4.561, 7.379, 7.379 Å; angles 22.27, 90.00, 90.00 degrees
Fractional positions:
Mg 0.000 0.000 0.000
Mg 0.000 0.332 0.332
Mg 0.500 0.782 0.782
Tc 0.000 0.663 0.663
Tc 0.500 0.110 0.110
Tc 0.500 0.464 0.464

Offset from the most stable computed form in meV per atom: 294
Crystal system: orthorhombic
ΔE_f in eV/atom: 0.229
Size of the total moment in μB/f.u.: 0.0

The following is a DFT calculation (meta-GGA SCAN) of a PBEsol-optimized structure of TaMo3.

Cell lengths 6.320, 6.320, 6.322 Å; angles 90.09, 90.09, 89.76 degrees
Fractional positions:
Ta 0.000 0.000 0.000
Ta 0.000 0.000 0.496
Ta 0.255 0.255 0.750
Ta 0.505 0.505 0.495
Mo 0.001 0.503 0.999
Mo 0.002 0.503 0.497
Mo 0.254 0.254 0.247
Mo 0.254 0.751 0.246
Mo 0.254 0.752 0.749
Mo 0.503 0.001 0.999
Mo 0.503 0.002 0.497
Mo 0.504 0.504 0.999
Mo 0.751 0.254 0.246
Mo 0.751 0.751 0.246
Mo 0.751 0.751 0.749
Mo 0.752 0.254 0.749

Crystal system: monoclinic
ΔE_f in eV/atom: -0.116
Size of the total moment in μB/f.u.: 0.0

The following is a DFT calculation (meta-GGA SCAN) of a PBEsol-optimized structure of YCoAg2.

Cell lengths 8.781, 8.781, 8.781 Å; angles 20.45, 20.45, 20.45 degrees
Fractional positions:
Y 0.000 0.000 0.000
Co 0.258 0.258 0.258
Ag 0.516 0.516 0.516
Ag 0.765 0.765 0.765

Crystal system: trigonal
ΔE_f in eV/atom: 0.351
Size of the total moment in μB/f.u.: 1.3

The following is a DFT calculation (meta-GGA SCAN) of a PBEsol-optimized structure of Cd5Hg3.

Cell lengths 8.570, 8.570, 7.853 Å; angles 94.61, 94.61, 141.15 degrees
Fractional positions:
Cd 0.074 0.747 0.808
Cd 0.249 0.249 0.987
Cd 0.253 0.926 0.192
Cd 0.261 0.458 0.660
Cd 0.458 0.261 0.660
Cd 0.542 0.739 0.340
Cd 0.739 0.542 0.340
Cd 0.747 0.074 0.808
Cd 0.751 0.751 0.013
Cd 0.926 0.253 0.192
Hg 0.149 0.149 0.351
Hg 0.243 0.757 0.500
Hg 0.322 0.678 0.000
Hg 0.678 0.322 0.000
Hg 0.757 0.243 0.500
Hg 0.851 0.851 0.649

Offset from the most stable computed form in meV per atom: 15
Crystal system: monoclinic
ΔE_f in eV/atom: 0.026
Size of the total moment in μB/f.u.: 0.0